DFT (PBE) results for crystalline TmTh8Bi6 at its relaxed geometry.

a b c (Å): 8.6915 8.6915 8.6915
angles (deg): 64.51 64.51 64.51
Last column: nearest neighbours and their distance in Å.
Element x y z (fractional)
Tm  0.0000  0.0000  0.0000  6 Bi 3.19
Th  0.0998  0.4670  0.7635  5 Bi 3.24-3.53
Th  0.2365  0.9002  0.5330  5 Bi 3.24-3.53
Th  0.3338  0.3338  0.3338  6 Bi 3.36-3.46, 3 Th 3.71
Th  0.4670  0.7635  0.0998  5 Bi 3.24-3.53
Th  0.5330  0.2365  0.9002  5 Bi 3.24-3.53
Th  0.6662  0.6662  0.6662  6 Bi 3.36-3.46, 3 Th 3.71
Th  0.7635  0.0998  0.4670  5 Bi 3.24-3.53
Th  0.9002  0.5330  0.2365  5 Bi 3.24-3.53
Bi  0.0685  0.7410  0.3736  1 Tm 3.19, 7 Th 3.24-3.53
Bi  0.2590  0.6264  0.9315  1 Tm 3.19, 7 Th 3.24-3.53
Bi  0.3736  0.0685  0.7410  1 Tm 3.19, 7 Th 3.24-3.53
Bi  0.6264  0.9315  0.2590  1 Tm 3.19, 7 Th 3.24-3.53
Bi  0.7410  0.3736  0.0685  1 Tm 3.19, 7 Th 3.24-3.53
Bi  0.9315  0.2590  0.6264  1 Tm 3.19, 7 Th 3.24-3.53

Summary:
D(E_F)   1.246 states/eV per atom
Size of the total moment   0.000 Bohr magnetons per cell
Space-group type   R-3 (148)
Electronic total energy   -90.1 eV/cell
Crystal system   trigonal
Formation energy   -3.02 eV per formula unit